This record from Alexandria via LeMat-Bulk describes crystalline PmMgTcN3 at its relaxed geometry. The functional is GGA-PBE.

Lattice parameters (Å, degrees): 3.363 8.953 5.978 104.57 90.00 90.00
Atoms (fractional coordinates):
1 Mg 0.250 0.626 0.125
2 Mg 0.750 0.374 0.875
3 N 0.750 0.495 0.248
4 N 0.250 0.847 0.517
5 N 0.750 0.153 0.483
6 N 0.250 0.207 0.930
7 N 0.750 0.793 0.070
8 N 0.250 0.505 0.752
9 Pm 0.250 0.329 0.349
10 Pm 0.750 0.671 0.651
11 Tc 0.750 0.913 0.354
12 Tc 0.250 0.087 0.646

Computed properties:
**E_form (uncorrected)**: -646 meV/atom
**Density**: 5.90 g/cm³
**Total moment**: 0.00 μB per atom
**Crystal system**: monoclinic

This record from Alexandria via LeMat-Bulk describes crystalline NaMgTlCd at its relaxed geometry. The functional is GGA-PBE.

Lattice parameters (Å, degrees): 3.366 3.366 8.919 90.00 90.00 90.00
Atoms (fractional coordinates):
1 Tl 0.500 0.500 0.803
2 Cd 0.500 0.500 0.340
3 Mg 0.000 0.000 0.563
4 Na 0.000 0.000 0.079

Computed properties:
**Density**: 5.98 g/cm³
**Total moment**: 0.00 μB per atom
**Crystal system**: tetragonal
**Polymorph energy (0 for the lowest one)**: 0.000 eV/atom
**Formation enthalpy at 0 K**: -9.0 kJ/mol of atoms

This record from Alexandria via LeMat-Bulk describes crystalline K2TlRu at its relaxed geometry. The functional is GGA-PBE.

Lattice parameters (Å, degrees): 3.150 3.150 11.559 90.00 90.00 90.00
Atoms (fractional coordinates):
1 K 0.000 0.000 0.469
2 K 0.000 0.000 0.031
3 Tl 0.500 0.500 0.750
4 Ru 0.500 0.500 0.250

Computed properties:
**Density**: 5.56 g/cm³
**Total moment**: 0.38 μB per atom
**Crystal system**: tetragonal
**Polymorph energy (0 for the lowest one)**: 0.370 eV/atom
**Formation enthalpy at 0 K**: 79.6 kJ/mol of atoms

This record from Alexandria via LeMat-Bulk describes crystalline CaPbSe2 at its relaxed geometry. The functional is GGA-PBE.

Lattice parameters (Å, degrees): 5.279 5.279 5.279 60.00 60.00 60.00
Atoms (fractional coordinates):
1 Se 0.250 0.250 0.250
2 Se 0.000 0.000 0.000
3 Ca 0.500 0.500 0.500
4 Pb 0.750 0.750 0.750

Computed properties:
**E_form (uncorrected)**: -388 meV/atom
**Density**: 6.47 g/cm³
**Total moment**: 0.00 μB per atom
**Crystal system**: cubic

Repeat the first record exactly.
This record from Alexandria via LeMat-Bulk describes crystalline PmMgTcN3 at its relaxed geometry. The functional is GGA-PBE.

Lattice parameters (Å, degrees): 3.363 8.953 5.978 104.57 90.00 90.00
Atoms (fractional coordinates):
1 Mg 0.250 0.626 0.125
2 Mg 0.750 0.374 0.875
3 N 0.750 0.495 0.248
4 N 0.250 0.847 0.517
5 N 0.750 0.153 0.483
6 N 0.250 0.207 0.930
7 N 0.750 0.793 0.070
8 N 0.250 0.505 0.752
9 Pm 0.250 0.329 0.349
10 Pm 0.750 0.671 0.651
11 Tc 0.750 0.913 0.354
12 Tc 0.250 0.087 0.646

Computed properties:
**E_form (uncorrected)**: -646 meV/atom
**Density**: 5.90 g/cm³
**Total moment**: 0.00 μB per atom
**Crystal system**: monoclinic

Repeat the third record exactly.
This record from Alexandria via LeMat-Bulk describes crystalline K2TlRu at its relaxed geometry. The functional is GGA-PBE.

Lattice parameters (Å, degrees): 3.150 3.150 11.559 90.00 90.00 90.00
Atoms (fractional coordinates):
1 K 0.000 0.000 0.469
2 K 0.000 0.000 0.031
3 Tl 0.500 0.500 0.750
4 Ru 0.500 0.500 0.250

Computed properties:
**Density**: 5.56 g/cm³
**Total moment**: 0.38 μB per atom
**Crystal system**: tetragonal
**Polymorph energy (0 for the lowest one)**: 0.370 eV/atom
**Formation enthalpy at 0 K**: 79.6 kJ/mol of atoms